Record 1
A plane-wave DFT calculation with PBE was carried out for Zr2ReBr after structural relaxation.

Summary:
Total DFT energy (no corrections), eV per atom: -7.787
DOS(E_F), states/eV/f.u.: 3.350
ΔE_f (raw), eV/atom: 0.02

Cell and atoms, written as extended XYZ:
```
4
Lattice="5.519 0.004 -0.017 4.561 3.108 -0.017 -0.530 -0.164 4.637" Properties=species:S:1:pos:R:3 pbc="T T T"
Zr 0.151 0.047 0.423
Zr 7.059 2.180 3.072
Br 4.429 1.367 2.726
Re 2.686 0.829 0.683
```


Record 2
A plane-wave DFT calculation with PBE was carried out for Zr2ReBr after structural relaxation.

Summary:
Total DFT energy (no corrections), eV per atom: -7.762
DOS(E_F), states/eV/f.u.: 2.728
ΔE_f (raw), eV/atom: 0.04

Cell and atoms, written as extended XYZ:
```
4
Lattice="-2.167 1.568 -1.732 2.849 -2.719 -6.026 -0.533 -4.388 -3.305" Properties=species:S:1:pos:R:3 pbc="T T T"
Zr 0.000 0.000 0.000
Zr 0.341 -0.576 -3.879
Br 0.074 -2.770 -5.532
Re -0.267 -2.194 -1.653
```


Record 3
A plane-wave DFT calculation with PBE was carried out for ZrRe2Br after structural relaxation.

Summary:
Total DFT energy (no corrections), eV per atom: -7.711
DOS(E_F), states/eV/f.u.: 2.875
ΔE_f (raw), eV/atom: 1.07

Cell and atoms, written as extended XYZ:
```
4
Lattice="0.035 -4.581 -0.668 -2.460 -2.764 2.782 -3.780 -2.134 -1.610" Properties=species:S:1:pos:R:3 pbc="T T T"
Re -4.653 -7.109 0.379
Re -1.551 -2.370 0.126
Zr -3.102 -4.739 0.253
Br 0.000 0.000 0.000
```


Record 4
A plane-wave DFT calculation with PBE was carried out for ZrRe2Br after structural relaxation.

Summary:
Total DFT energy (no corrections), eV per atom: -8.247
DOS(E_F), states/eV/f.u.: 2.628
ΔE_f (raw), eV/atom: 0.53

Cell and atoms, written as extended XYZ:
```
4
Lattice="-5.046 -0.843 -0.083 0.081 -0.195 -2.983 0.762 -4.605 0.429" Properties=species:S:1:pos:R:3 pbc="T T T"
Re 0.083 -0.225 -2.756
Re 0.420 -2.370 -1.503
Zr -2.312 -1.621 -0.680
Br -1.891 -4.021 -1.957
```


| no. | ΔE to the lowest computed polymorph (meV/atom) |
| --- | --- |
| 1 | 479.7 |
| 2 | 505.0 |
| 3 | 642.9 |
| 4 | 107.5 |